VASP calculation (PBE) on an optimized crystal structure of Al2TcBiRh.

Computed properties:
formation energy from the elements: 64 kJ/mol of atoms
space-group type: P4/mmm, No. 123
density: 6.849 Mg/m³
electronic total energy: -5.157 eV per atom
N(E_F): 0.799 states/eV/atom

```
Al2TcBiRh
1.0
4.684 0.000 0.000
0.000 4.684 0.000
0.000 0.000 5.126
Al Tc Bi Rh
2 1 1 1
Direct
0.000 0.500 0.000
0.500 0.000 0.000
0.000 0.000 0.000
0.000 0.000 0.500
0.500 0.500 0.500
```

VASP calculation (PBE) on an optimized crystal structure of Al2BiRu.

Computed properties:
formation energy from the elements: 22 kJ/mol of atoms
space-group type: I-42d, No. 122
density: 7.139 Mg/m³
electronic total energy: -4.932 eV per atom
N(E_F): 0.597 states/eV/atom

```
Al2BiRu
1.0
4.432 0.000 0.000
0.000 4.432 0.000
0.000 0.000 17.240
Al Bi Ru
8 4 4
Direct
0.159 0.250 0.125
0.250 0.659 0.375
0.250 0.841 0.875
0.341 0.250 0.625
0.659 0.750 0.625
0.750 0.159 0.875
0.750 0.341 0.375
0.841 0.750 0.125
0.000 0.000 0.500
0.000 0.500 0.750
0.500 0.000 0.250
0.500 0.500 0.000
0.000 0.000 0.000
0.000 0.500 0.250
0.500 0.000 0.750
0.500 0.500 0.500
```

VASP calculation (PBE) on an optimized crystal structure of AlBiRu2.

Computed properties:
formation energy from the elements: 44 kJ/mol of atoms
space-group type: I-42d, No. 122
density: 9.330 Mg/m³
electronic total energy: -6.085 eV per atom
N(E_F): 1.076 states/eV/atom

```
AlBiRu2
1.0
4.253 0.000 0.000
0.000 4.253 0.000
0.000 0.000 17.242
Al Bi Ru
4 4 8
Direct
0.000 0.000 0.000
0.000 0.500 0.250
0.500 0.000 0.750
0.500 0.500 0.500
0.000 0.000 0.500
0.000 0.500 0.750
0.500 0.000 0.250
0.500 0.500 0.000
0.177 0.250 0.125
0.250 0.677 0.375
0.250 0.823 0.875
0.323 0.250 0.625
0.677 0.750 0.625
0.750 0.177 0.875
0.750 0.323 0.375
0.823 0.750 0.125
```

VASP calculation (PBE) on an optimized crystal structure of AlBi3Ru.

Computed properties:
formation energy from the elements: 119 kJ/mol of atoms
space-group type: Pm-3m, No. 221
density: 8.259 Mg/m³
electronic total energy: -3.694 eV per atom
N(E_F): 0.903 states/eV/atom

```
AlBi3Ru
1.0
5.335 0.000 0.000
0.000 5.335 0.000
0.000 0.000 5.335
Al Bi Ru
1 3 1
Direct
0.000 0.000 0.000
0.000 0.000 0.500
0.000 0.500 0.000
0.500 0.000 0.000
0.500 0.500 0.500
```